A plane-wave DFT calculation with PBE was carried out for crystalline TlHg at its relaxed geometry.

Unit cell a=6.199 b=6.199 c=6.199 alpha=90.00 beta=90.00 gamma=90.00
Space group Fm-3m (No. 225)
Asymmetric unit:
Tl1 0.000 0.000 0.000 x4
Hg1 0.000 0.000 0.500 x4

---

A plane-wave DFT calculation with PBE was carried out for crystalline TlHg at its relaxed geometry.

Unit cell a=6.152 b=20.408 c=10.624 alpha=90.00 beta=90.00 gamma=90.00
Space group Imm2 (No. 44)
Asymmetric unit:
Tl1 0.000 0.092 0.000 x4
Tl2 0.000 0.125 0.666 x4
Tl3 0.000 0.158 0.334 x4
Tl4 0.000 0.342 0.333 x4
Tl5 0.000 0.375 0.667 x4
Tl6 0.000 0.408 0.000 x4
Hg1 0.000 0.000 0.494 x2
Hg2 0.000 0.250 0.840 x4
Hg3 0.000 0.500 0.494 x2
Hg4 0.241 0.000 0.253 x4
Hg5 0.241 0.250 0.081 x8
Hg6 0.241 0.500 0.253 x4

---

A plane-wave DFT calculation with PBE was carried out for crystalline TlHg at its relaxed geometry.

Unit cell a=3.809 b=3.809 c=3.809 alpha=90.00 beta=90.00 gamma=90.00
Space group Pm-3m (No. 221)
Asymmetric unit:
Tl1 0.000 0.000 0.000 x1
Hg1 0.500 0.500 0.500 x1

---

no.,total DFT energy (no corrections) (eV per atom)
1,-1.295
2,-1.296
3,-1.334